DFT (PBE) results for a geometry-optimized ZrCo3P structure.

## Properties
- formation enthalpy at 0 K (meV per atom) = -167
- volume (Å³ per atom) = 14.23
- energy above the lowest structure with this stoichiometry (meV per atom) = 0.0
- crystal system = cubic
- density (Mg/m³) = 6.98
- SG = No. 221

a = 4.1440 Å, b = 4.1440 Å, c = 4.1440 Å
α = 90.00°, β = 90.00°, γ = 90.00°
Closest atoms and distances in Å follow each position.
Element x y z (fractional)
P  0.0000  0.0000  0.0000  6 Co 2.07
Co  0.0000  0.5000  0.0000  2 P 2.07
Co  0.0000  0.0000  0.5000  2 P 2.07
Co  0.5000  0.0000  0.0000  2 P 2.07
Zr  0.5000  0.5000  0.5000  12 Co 2.93

***

DFT (PBE) results for a geometry-optimized ZrCo2P2 structure.

## Properties
- formation enthalpy at 0 K (meV per atom) = -464
- volume (Å³ per atom) = 13.10
- crystal system = tetragonal
- density (Mg/m³) = 6.87
- SG = No. 127

a = 6.8751 Å, b = 6.8751 Å, c = 2.7707 Å
α = 90.00°, β = 90.00°, γ = 90.00°
Closest atoms and distances in Å follow each position.
Element x y z (fractional)
P  0.3562  0.8562  0.0000  6 Co 2.35-2.57
P  0.8562  0.6438  0.0000  6 Co 2.35-2.57
P  0.6438  0.1438  0.0000  6 Co 2.35-2.57
P  0.1438  0.3562  0.0000  6 Co 2.35-2.57
Co  0.1330  0.6330  0.5000  6 P 2.35-2.57, 1 Co 2.59
Co  0.6330  0.8670  0.5000  6 P 2.35-2.57, 1 Co 2.59
Co  0.8670  0.3670  0.5000  6 P 2.35-2.57, 1 Co 2.59
Co  0.3670  0.1330  0.5000  6 P 2.35-2.57, 1 Co 2.59
Zr  0.0000  0.0000  0.0000  4 P 2.64, 2 Zr 2.77
Zr  0.5000  0.5000  0.0000  4 P 2.64, 2 Zr 2.77